[1]
# PBE Ca2AsH, relaxed
# Offset from the most stable computed form: 0.000 eV/atom
# Mass density: 3.22 g/cm³
data_Ca2AsH
_chemical_formula_sum 'Ca4 As2 H2'
_cell_length_a 4.422
_cell_length_b 4.422
_cell_length_c 8.232
_cell_angle_alpha 90.00
_cell_angle_beta 90.00
_cell_angle_gamma 90.00
_space_group_name_H-M_alt 'P 4/n m m'
_space_group_IT_number 129
loop_
_space_group_symop_operation_xyz
'x,y,z'
'-x,-y,-z'
'-y+1/2,x,z'
'y+1/2,-x,-z'
'-x+1/2,-y+1/2,z'
'x+1/2,y+1/2,-z'
'y,-x+1/2,z'
'-y,x+1/2,-z'
'x+1/2,-y,-z'
'-x+1/2,y,z'
'-y,-x,-z'
'y,x,z'
'-x,y+1/2,-z'
'x,-y+1/2,z'
'y+1/2,x+1/2,-z'
'-y+1/2,-x+1/2,z'
loop_
_atom_site_label
_atom_site_fract_x
_atom_site_fract_y
_atom_site_fract_z
_atom_site_occupancy
Ca1 0.250 0.250 0.141 1
Ca2 0.250 0.750 0.500 1
As1 0.250 0.250 0.776 1
H1 0.250 0.250 0.412 1

[2]
# PBE Y2InAg, relaxed
# Formation energy from the elements: -0.762 eV per formula unit
# Mass density: 6.00 g/cm³
data_Y2InAg
_chemical_formula_sum 'Y6 In3 Ag3'
_cell_length_a 3.7209
_cell_length_b 3.7209
_cell_length_c 27.7531
_cell_angle_alpha 90.00
_cell_angle_beta 90.00
_cell_angle_gamma 120.00
_space_group_name_H-M_alt 'R -3 m'
_space_group_IT_number 166
_space_group_name_Hall '-R 3 2"'
loop_
_atom_site_label
_atom_site_fract_x
_atom_site_fract_y
_atom_site_fract_z
_atom_site_occupancy
Y1 0.0000 0.0000 0.2460 1
In1 0.0000 0.0000 0.0000 1
Ag1 0.0000 0.0000 0.5000 1